(P)
PBE VTc2Ir, relaxed; V = 15.6 Å³/atom; space-group type = I-42d (122); density = 11.7 g/cm³
1.0
3.705 0.000 0.000
0.000 3.705 0.000
0.000 0.000 18.182
V Tc Ir
4 8 4
direct
0.000 0.000 0.000
0.000 0.500 0.250
0.500 0.000 0.750
0.500 0.500 0.500
0.219 0.250 0.125
0.250 0.719 0.375
0.250 0.781 0.875
0.281 0.250 0.625
0.719 0.750 0.625
0.750 0.219 0.875
0.750 0.281 0.375
0.781 0.750 0.125
0.000 0.000 0.500
0.000 0.500 0.750
0.500 0.000 0.250
0.500 0.500 0.000

=====

(Q)
PBE VTc2Ir, relaxed; V = 14.3 Å³/atom; space-group type = P4/mmm (123); density = 12.8 g/cm³
1.0
3.826 0.000 0.000
0.000 3.826 0.000
0.000 0.000 3.903
V Tc Ir
1 2 1
direct
0.000 0.000 0.000
0.000 0.500 0.500
0.500 0.000 0.500
0.500 0.500 0.000

=====

(R)
PBE VTc2Ir, relaxed; V = 14.5 Å³/atom; space-group type = Fm-3m (225); density = 12.6 g/cm³
1.0
6.142 0.000 0.000
0.000 6.142 0.000
0.000 0.000 6.142
V Tc Ir
4 8 4
direct
0.000 0.000 0.000
0.000 0.500 0.500
0.500 0.000 0.500
0.500 0.500 0.000
0.250 0.250 0.250
0.250 0.250 0.750
0.250 0.750 0.250
0.250 0.750 0.750
0.750 0.250 0.250
0.750 0.250 0.750
0.750 0.750 0.250
0.750 0.750 0.750
0.000 0.000 0.500
0.000 0.500 0.000
0.500 0.000 0.000
0.500 0.500 0.500

=====

The structure with the greatest stability is (Q).

=====

(P)
PBE V2Tc2Ir, relaxed; V = 15.5 Å³/atom; space-group type = I4/mmm (139); density = 10.5 g/cm³
1.0
3.912 0.000 0.000
0.000 3.912 0.000
0.000 0.000 10.114
V Tc Ir
4 4 2
direct
0.000 0.000 0.112
0.000 0.000 0.888
0.500 0.500 0.388
0.500 0.500 0.612
0.000 0.500 0.250
0.000 0.500 0.750
0.500 0.000 0.250
0.500 0.000 0.750
0.000 0.000 0.500
0.500 0.500 0.000

=====

(Q)
PBE V2Tc2Ir, relaxed; V = 14.4 Å³/atom; space-group type = P4/mbm (127); density = 11.3 g/cm³
1.0
7.002 0.000 0.000
0.000 7.002 0.000
0.000 0.000 2.929
V Tc Ir
4 4 2
direct
0.144 0.356 0.000
0.356 0.856 0.000
0.644 0.144 0.000
0.856 0.644 0.000
0.161 0.661 0.500
0.339 0.161 0.500
0.661 0.839 0.500
0.839 0.339 0.500
0.000 0.000 0.000
0.500 0.500 0.000

=====

The structure with the greatest stability is (Q).

=====

(P)
PBE VTcIr3, relaxed; V = 14.3 Å³/atom; space-group type = C2/m (12); density = 16.8 g/cm³
1.0
6.967 -1.913 0.000
6.967 1.913 0.000
-1.135 0.000 5.367
V Tc Ir
2 2 6
direct
0.099 0.099 0.054
0.901 0.901 0.946
0.298 0.298 0.155
0.702 0.702 0.845
0.102 0.102 0.557
0.301 0.301 0.661
0.499 0.499 0.244
0.501 0.501 0.756
0.699 0.699 0.339
0.898 0.898 0.443

=====

(Q)
PBE VTcIr3, relaxed; V = 18.3 Å³/atom; space-group type = Pm-3m (221); density = 13.2 g/cm³
1.0
4.504 0.000 0.000
0.000 4.504 0.000
0.000 0.000 4.504
V Tc Ir
1 1 3
direct
0.000 0.000 0.000
0.500 0.500 0.500
0.000 0.000 0.500
0.000 0.500 0.000
0.500 0.000 0.000

=====

The structure with the greatest stability is (P).

=====

(P)
PBE TcIr2W, relaxed; V = 14.9 Å³/atom; space-group type = C2/m (12); density = 18.6 g/cm³
1.0
9.229 0.000 0.000
0.000 2.762 0.000
-0.843 0.000 4.668
Tc Ir W
2 4 2
direct
0.000 0.000 0.000
0.500 0.500 0.000
0.250 0.000 0.752
0.250 0.500 0.248
0.750 0.000 0.248
0.750 0.500 0.752
0.000 0.500 0.500
0.500 0.000 0.500

=====

(Q)
PBE TcIr2W, relaxed; V = 15.2 Å³/atom; space-group type = P4mm (99); density = 18.1 g/cm³
1.0
3.302 0.000 0.000
0.000 3.302 0.000
0.000 0.000 5.592
Tc Ir W
1 2 1
direct
0.000 0.000 0.000
0.000 0.000 0.512
0.500 0.500 0.761
0.500 0.500 0.272

=====

(R)
PBE TcIr2W, relaxed; V = 14.8 Å³/atom; space-group type = I4/mmm (139); density = 18.7 g/cm³
1.0
3.881 0.000 0.000
0.000 3.881 0.000
0.000 0.000 7.867
Tc Ir W
2 4 2
direct
0.000 0.000 0.000
0.500 0.500 0.500
0.000 0.500 0.250
0.000 0.500 0.750
0.500 0.000 0.250
0.500 0.000 0.750
0.000 0.000 0.500
0.500 0.500 0.000

=====

(S)
PBE TcIr2W, relaxed; V = 14.9 Å³/atom; space-group type = R-3m (166); density = 18.5 g/cm³
1.0
2.774 0.000 0.000
-1.387 2.402 0.000
0.000 0.000 26.870
Tc Ir W
3 6 3
direct
0.000 0.000 0.000
0.333 0.667 0.667
0.667 0.333 0.333
0.000 0.000 0.251
0.000 0.000 0.749
0.333 0.667 0.416
0.333 0.667 0.917
0.667 0.333 0.083
0.667 0.333 0.584
0.000 0.000 0.500
0.333 0.667 0.167
0.667 0.333 0.833

=====

The structure with the greatest stability is (R).

=====

(P)
PBE TcIr2W, relaxed; V = 14.8 Å³/atom; space-group type = Pmm2 (25); density = 18.7 g/cm³
1.0
2.761 0.000 0.000
0.000 4.424 0.000
0.000 0.000 4.840
Tc Ir W
1 2 1
direct
0.000 0.000 0.000
0.500 0.000 0.497
0.500 0.500 0.156
0.000 0.500 0.667

=====

(Q)
PBE TcIr2W, relaxed; V = 14.8 Å³/atom; space-group type = Pmmm (47); density = 18.6 g/cm³
1.0
2.755 0.000 0.000
0.000 3.909 0.000
0.000 0.000 5.509
Tc Ir W
1 2 1
direct
0.000 0.000 0.000
0.500 0.500 0.246
0.500 0.500 0.754
0.000 0.000 0.500

=====

The structure with the greatest stability is (P).

=====

(P)
PBE TcIr3W, relaxed; V = 21.1 Å³/atom; space-group type = Pm-3m (221); density = 13.5 g/cm³
1.0
4.727 0.000 0.000
0.000 4.727 0.000
0.000 0.000 4.727
Tc Ir W
1 3 1
direct
0.000 0.000 0.000
0.000 0.500 0.500
0.500 0.000 0.500
0.500 0.500 0.000
0.500 0.500 0.500

=====

(Q)
PBE TcIr3W, relaxed; V = 14.8 Å³/atom; space-group type = P-1 (2); density = 19.3 g/cm³
1.0
4.762 0.000 0.000
1.590 4.495 0.000
2.376 0.002 6.906
Tc Ir W
2 6 2
direct
0.147 0.250 0.206
0.853 0.750 0.794
0.053 0.749 0.393
0.249 0.750 0.001
0.446 0.751 0.608
0.554 0.249 0.392
0.751 0.250 0.999
0.947 0.251 0.607
0.350 0.250 0.799
0.650 0.750 0.201

=====

The structure with the greatest stability is (Q).

=====

(P)
PBE TcIr2W2, relaxed; V = 17.1 Å³/atom; space-group type = I4/mmm (139); density = 16.5 g/cm³
1.0
3.700 0.000 0.000
0.000 3.700 0.000
0.000 0.000 12.462
Tc Ir W
2 4 4
direct
0.000 0.000 0.000
0.500 0.500 0.500
0.000 0.500 0.250
0.000 0.500 0.750
0.500 0.000 0.250
0.500 0.000 0.750
0.000 0.000 0.399
0.000 0.000 0.601
0.500 0.500 0.101
0.500 0.500 0.899

=====

(Q)
PBE TcIr2W2, relaxed; V = 15.9 Å³/atom; space-group type = P4/mbm (127); density = 17.7 g/cm³
1.0
7.571 0.000 0.000
0.000 7.571 0.000
0.000 0.000 2.780
Tc Ir W
2 4 4
direct
0.000 0.000 0.000
0.500 0.500 0.000
0.126 0.374 0.000
0.374 0.874 0.000
0.626 0.126 0.000
0.874 0.626 0.000
0.171 0.671 0.500
0.329 0.171 0.500
0.671 0.829 0.500
0.829 0.329 0.500

=====

The structure with the greatest stability is (Q).

=====

(P)
PBE TcIr4W, relaxed; V = 15.6 Å³/atom; space-group type = F-43m (216); density = 18.6 g/cm³
1.0
0.000 3.604 3.604
3.604 0.000 3.604
3.604 3.604 0.000
Tc Ir W
1 4 1
direct
0.000 0.000 0.000
0.124 0.625 0.625
0.625 0.124 0.625
0.625 0.625 0.124
0.625 0.625 0.625
0.250 0.250 0.250

=====

(Q)
PBE TcIr4W, relaxed; V = 14.9 Å³/atom; space-group type = Cmcm (63); density = 19.5 g/cm³
1.0
4.115 -5.091 0.000
4.115 5.091 0.000
0.000 0.000 4.274
Tc Ir W
2 8 2
direct
0.071 0.929 0.750
0.929 0.071 0.250
0.004 0.664 0.250
0.257 0.400 0.250
0.336 0.996 0.250
0.400 0.257 0.750
0.600 0.743 0.250
0.664 0.004 0.750
0.743 0.600 0.750
0.996 0.336 0.750
0.333 0.667 0.750
0.667 0.333 0.250

=====

The structure with the greatest stability is (Q).

=====

(P)
PBE YTc2Ir, relaxed; V = 16.9 Å³/atom; space-group type = Fm-3m (225); density = 11.7 g/cm³
1.0
6.467 0.000 0.000
0.000 6.467 0.000
0.000 0.000 6.467
Y Tc Ir
4 8 4
direct
0.000 0.000 0.000
0.000 0.500 0.500
0.500 0.000 0.500
0.500 0.500 0.000
0.250 0.250 0.250
0.250 0.250 0.750
0.250 0.750 0.250
0.250 0.750 0.750
0.750 0.250 0.250
0.750 0.250 0.750
0.750 0.750 0.250
0.750 0.750 0.750
0.000 0.000 0.500
0.000 0.500 0.000
0.500 0.000 0.000
0.500 0.500 0.500

=====

(Q)
PBE YTc2Ir, relaxed; V = 17.1 Å³/atom; space-group type = P4/mmm (123); density = 11.6 g/cm³
1.0
2.825 0.000 0.000
0.000 2.825 0.000
0.000 0.000 8.582
Y Tc Ir
1 2 1
direct
0.000 0.000 0.000
0.500 0.500 0.284
0.500 0.500 0.716
0.000 0.000 0.500

=====

(R)
PBE YTc2Ir, relaxed; V = 17.1 Å³/atom; space-group type = Pmmm (47); density = 11.6 g/cm³
1.0
3.198 0.000 0.000
0.000 4.485 0.000
0.000 0.000 4.774
Y Tc Ir
1 2 1
direct
0.000 0.000 0.000
0.000 0.500 0.500
0.500 0.000 0.500
0.500 0.500 0.000

=====

(S)
PBE YTc2Ir, relaxed; V = 17.5 Å³/atom; space-group type = Pm (6); density = 11.3 g/cm³
1.0
2.951 0.000 0.000
0.000 4.372 0.000
-1.160 0.000 5.421
Y Tc Ir
1 2 1
direct
0.000 0.000 0.000
0.277 0.500 0.642
0.630 0.000 0.501
0.586 0.500 0.218

=====

The structure with the greatest stability is (S).

=====

(P)
PBE YTc2Ir, relaxed; V = 17.2 Å³/atom; space-group type = F-43m (216); density = 11.5 g/cm³
1.0
6.501 0.000 0.000
0.000 6.501 0.000
0.000 0.000 6.501
Y Tc Ir
4 8 4
direct
0.000 0.000 0.000
0.000 0.500 0.500
0.500 0.000 0.500
0.500 0.500 0.000
0.000 0.000 0.500
0.000 0.500 0.000
0.250 0.250 0.250
0.250 0.750 0.750
0.500 0.000 0.000
0.500 0.500 0.500
0.750 0.250 0.750
0.750 0.750 0.250
0.250 0.250 0.750
0.250 0.750 0.250
0.750 0.250 0.250
0.750 0.750 0.750

=====

(Q)
PBE YTc2Ir, relaxed; V = 17.2 Å³/atom; space-group type = I4/mmm (139); density = 11.5 g/cm³
1.0
3.947 0.000 0.000
0.000 3.947 0.000
0.000 0.000 8.841
Y Tc Ir
2 4 2
direct
0.000 0.000 0.000
0.500 0.500 0.500
0.000 0.500 0.250
0.000 0.500 0.750
0.500 0.000 0.250
0.500 0.000 0.750
0.000 0.000 0.500
0.500 0.500 0.000

=====

The structure with the greatest stability is (P).

=====

(P)
PBE YTc2Ir, relaxed; V = 19.4 Å³/atom; space-group type = I-42d (122); density = 10.2 g/cm³
1.0
7.629 0.000 0.000
0.000 7.629 0.000
0.000 0.000 5.321
Y Tc Ir
4 8 4
direct
0.000 0.000 0.000
0.000 0.500 0.250
0.500 0.000 0.750
0.500 0.500 0.500
0.198 0.250 0.625
0.250 0.698 0.875
0.250 0.802 0.375
0.302 0.250 0.125
0.698 0.750 0.125
0.750 0.198 0.375
0.750 0.302 0.875
0.802 0.750 0.625
0.000 0.000 0.500
0.000 0.500 0.750
0.500 0.000 0.250
0.500 0.500 0.000

=====

(Q)
PBE YTc2Ir, relaxed; V = 16.8 Å³/atom; space-group type = Cmmm (65); density = 11.8 g/cm³
1.0
5.646 0.000 0.000
0.000 8.452 0.000
0.000 0.000 2.820
Y Tc Ir
2 4 2
direct
0.000 0.000 0.000
0.500 0.500 0.000
0.250 0.250 0.500
0.250 0.750 0.500
0.750 0.250 0.500
0.750 0.750 0.500
0.000 0.500 0.000
0.500 0.000 0.000

=====

The structure with the greatest stability is (Q).